# 1
VASP calculation (PBE-GGA) on a relaxed structure of PaVOs2.

Summary:
- E above lowest polymorph: 221 meV/atom
- Symmetry: R-3m, No. 166
- Density of states at the Fermi level: 4.1 states/eV/cell
- Formation enthalpy at 0 K: -0.076 eV per atom

a b c (Å): 5.5474 5.5474 5.5474
angles (deg): 43.43 43.43 43.43
Closest atoms and distances in Å follow each position.
Element x y z (fractional)
Pa: 0.0000 0.0000 0.0000  6 Os 2.91
V: 0.5000 0.5000 0.5000  6 Os 2.51
Os: 0.2215 0.2215 0.2215  3 V 2.51
Os: 0.7785 0.7785 0.7785  3 V 2.51

***

# 2
VASP calculation (PBE-GGA) on a relaxed structure of Ho6TlTe3Rh2.

Summary:
- Symmetry: C2/m, No. 12
- Raw formation energy: -0.938 eV/atom
- Density of states at the Fermi level: 3.9 states/eV/cell

a b c (Å): 9.7761 9.7761 8.9028
angles (deg): 109.03 109.03 24.20
Closest atoms and distances in Å follow each position.
Element x y z (fractional)
Ho: 0.0094 0.0094 0.2595  1 Rh 2.80, 3 Te 3.01-3.12, 2 Tl 3.05
Ho: 0.3175 0.3175 0.4472  3 Rh 2.79-2.85
Ho: 0.3290 0.3290 0.8897  2 Rh 2.82, 1 Te 3.04, 1 Tl 3.08
Ho: 0.6710 0.6710 0.1103  2 Rh 2.82, 1 Te 3.04, 1 Tl 3.08
Ho: 0.6825 0.6825 0.5528  3 Rh 2.79-2.85
Ho: 0.9906 0.9906 0.7405  1 Rh 2.80, 3 Te 3.01-3.12, 2 Tl 3.05
Tl: 0.5000 0.5000 0.0000  6 Ho 3.05-3.08
Te: 0.1628 0.1628 0.8281  6 Ho 3.04-3.31
Te: 0.5000 0.5000 0.5000  6 Ho 3.01-3.36
Te: 0.8372 0.8372 0.1719  6 Ho 3.04-3.31
Rh: 0.1629 0.1629 0.3206  6 Ho 2.79-2.85
Rh: 0.8371 0.8371 0.6794  6 Ho 2.79-2.85